Crystalline KCu5P2 at its relaxed geometry, computed with PBE.

## Properties
The value obtained for the volume is 128.2 Å³ per cell. The total energy is -0.153 hartree per atom. The calculation puts the formation energy at -2.3 kcal/mol of atoms. For the theoretical density, the calculation gives 5426 kg/m3. As for the space group: Immm. The calculation puts the total magnetization at 0.00 μB/cell.

a b c (Å): 3.9854 6.1513 6.1513
angles (deg): 67.30 71.10 71.10
Fractional positions:
K 0.0000 0.0000 0.0000
Cu 0.0000 0.5000 0.5000
Cu 0.6715 0.5081 0.1490
Cu 0.3285 0.4919 0.8510
Cu 0.3285 0.8510 0.4919
Cu 0.6715 0.1490 0.5081
P 0.7600 0.7400 0.7400
P 0.2400 0.2600 0.2600

---

Crystalline KCuP3 at its relaxed geometry, computed with PBE.

## Properties
The value obtained for the volume is 103.6 Å³ per cell. The total energy is -0.138 hartree per atom. The calculation puts the formation energy at 12.2 kcal/mol of atoms. For the theoretical density, the calculation gives 3133 kg/m3. As for the space group: Pm-3m. The calculation puts the total magnetization at 0.00 μB/cell.

a b c (Å): 4.6972 4.6972 4.6972
angles (deg): 90.00 90.00 90.00
Fractional positions:
P 0.0000 0.5000 0.0000
P 0.0000 0.0000 0.5000
P 0.5000 0.0000 0.0000
K 0.5000 0.5000 0.5000
Cu 0.0000 0.0000 0.0000

---

Crystalline KCu3P at its relaxed geometry, computed with PBE.

## Properties
The value obtained for the volume is 94.1 Å³ per cell. The total energy is -0.133 hartree per atom. The calculation puts the formation energy at 3.5 kcal/mol of atoms. For the theoretical density, the calculation gives 4601 kg/m3. As for the space group: Pm-3m. The calculation puts the total magnetization at 0.00 μB/cell.

a b c (Å): 4.5482 4.5482 4.5482
angles (deg): 90.00 90.00 90.00
Fractional positions:
P 0.0000 0.0000 0.0000
K 0.5000 0.5000 0.5000
Cu 0.0000 0.5000 0.0000
Cu 0.0000 0.0000 0.5000
Cu 0.5000 0.0000 0.0000

---

Crystalline K2CuP2Pd2 at its relaxed geometry, computed with PBE.

## Properties
The value obtained for the volume is 174.3 Å³ per cell. The total energy is -0.160 hartree per atom. The calculation puts the formation energy at -9.6 kcal/mol of atoms. For the theoretical density, the calculation gives 3968 kg/m3. As for the space group: C2/m. The calculation puts the total magnetization at 0.00 μB/cell.

a b c (Å): 4.4390 6.1111 7.3682
angles (deg): 73.82 72.47 68.70
Fractional positions:
K 0.5650 0.2018 0.6682
K 0.4350 0.7982 0.3318
Cu 0.0000 0.0000 0.0000
P 0.2299 0.7195 0.8207
P 0.7701 0.2805 0.1793
Pd 0.2362 0.4159 0.1117
Pd 0.7638 0.5841 0.8883

---

Crystalline KCuP2S6 at its relaxed geometry, computed with PBE.

## Properties
The value obtained for the volume is 547.2 Å³ per cell. The total energy is -0.164 hartree per atom. For the theoretical density, the calculation gives 2167 kg/m3. As for the space group: C2/c. The calculation puts the total magnetization at 0.00 μB/cell.

a b c (Å): 5.8071 9.8713 9.8713
angles (deg): 98.91 82.35 82.35
Fractional positions:
K 0.2500 0.8732 0.1268
K 0.7500 0.1268 0.8732
Cu 0.2500 0.3541 0.6459
Cu 0.7500 0.6459 0.3541
P 0.3549 0.7829 0.6455
P 0.1451 0.3545 0.2171
P 0.6451 0.2171 0.3545
P 0.8549 0.6455 0.7829
S 0.2967 0.9485 0.7919
S 0.2033 0.2081 0.0515
S 0.7033 0.0515 0.2081
S 0.7967 0.7919 0.9485
S 0.4791 0.8164 0.4530
S 0.0209 0.5470 0.1836
S 0.5209 0.1836 0.5470
S 0.9791 0.4530 0.8164
S 0.0482 0.6951 0.5995
S 0.4518 0.4005 0.3049
S 0.9518 0.3049 0.4005
S 0.5482 0.5995 0.6951

---

Crystalline K2CuPS4 at its relaxed geometry, computed with PBE.

## Properties
The value obtained for the volume is 428.6 Å³ per cell. The total energy is -0.155 hartree per atom. For the theoretical density, the calculation gives 2332 kg/m3. As for the space group: Fddd. The calculation puts the total magnetization at 0.00 μB/cell.

a b c (Å): 5.7901 6.9986 11.9729
angles (deg): 84.26 76.01 65.57
Fractional positions:
K 0.1817 0.0000 0.6365
K 0.8183 0.0000 0.3635
K 0.5683 0.5000 0.8635
K 0.9317 0.5000 0.1365
Cu 0.7500 0.5000 0.5000
Cu 0.0000 0.0000 0.0000
P 0.2500 0.5000 0.5000
P 0.5000 0.0000 0.0000
S 0.3337 0.8118 0.0996
S 0.2452 0.1882 0.9004
S 0.8545 0.8118 0.9004
S 0.5667 0.1882 0.0996
S 0.4163 0.6882 0.4004
S 0.5048 0.3118 0.5996
S 0.8955 0.6882 0.5996
S 0.1833 0.3118 0.4004